{"formula": "SrVAs2Se", "functional": "PBE", "state": "relaxed", "e_above_lowest_polymorph_mev_per_atom": 1931, "rho_kg_m3": 3630, "energy_ev_per_atom": -3.37, "spacegroup": "P4/mmm", "vol_a3_per_atom": 33.61, "e_form_raw_mev_per_atom": 1343, "lattice": [[-1.0897, -3.7002, 3.9274], [5.3911, -0.5778, 0.9515], [-0.2290, 4.0645, 3.7658]], "species": ["Sr", "V", "Se", "As", "As"], "frac_coords": [[0.0000, 0.0000, 0.0000], [0.5000, 0.5000, 0.5000], [0.0000, 0.0000, 0.5000], [0.5000, 0.0000, 0.0000], [0.0000, 0.5000, 0.0000]]}

=====

{"formula": "SrAs2WSe", "functional": "PBE", "state": "relaxed", "e_above_lowest_polymorph_mev_per_atom": 2368, "rho_kg_m3": 5448, "energy_ev_per_atom": -3.42, "spacegroup": "P4/mmm", "vol_a3_per_atom": 30.49, "e_form_raw_mev_per_atom": 2062, "lattice": [[5.3267, 0.0000, 0.0000], [0.0000, 5.3267, 0.0000], [0.0000, 0.0000, 5.3736]], "species": ["W", "Se", "As", "As", "Sr"], "frac_coords": [[0.5000, 0.5000, 0.5000], [0.0000, 0.0000, 0.5000], [0.5000, 0.0000, 0.0000], [0.0000, 0.5000, 0.0000], [0.0000, 0.0000, 0.0000]]}

=====

{"formula": "SrAs2WSe", "functional": "PBE", "state": "relaxed", "e_above_lowest_polymorph_mev_per_atom": 0, "rho_kg_m3": 6541, "energy_ev_per_atom": -5.79, "spacegroup": "P4/mmm", "vol_a3_per_atom": 25.40, "e_form_raw_mev_per_atom": -306, "lattice": [[-1.2171, 2.2213, 4.1478], [-4.2578, 1.3033, -1.9474], [-2.2153, -4.5598, 1.7919]], "species": ["Se", "W", "Sr", "As", "As"], "frac_coords": [[0.0000, 0.0000, 0.5000], [0.0000, 0.0000, 0.0000], [0.5000, 0.5000, 0.5000], [0.0000, 0.5000, 0.0000], [0.5000, 0.0000, 0.0000]]}

=====

{"formula": "SrAs2WSe", "functional": "PBE", "state": "relaxed", "e_above_lowest_polymorph_mev_per_atom": 381, "rho_kg_m3": 5597, "energy_ev_per_atom": -5.41, "spacegroup": "P4/mmm", "vol_a3_per_atom": 29.69, "e_form_raw_mev_per_atom": 75, "lattice": [[4.7582, 0.0000, 0.0000], [0.0000, 4.7582, 0.0000], [0.0000, 0.0000, 6.5560]], "species": ["As", "Se", "As", "Sr", "W"], "frac_coords": [[0.0000, 0.5000, 0.0000], [0.5000, 0.5000, 0.5000], [0.5000, 0.0000, 0.0000], [0.0000, 0.0000, 0.5000], [0.0000, 0.0000, 0.0000]]}

=====

{"formula": "SrZnAs2Se", "functional": "PBE", "state": "relaxed", "e_above_lowest_polymorph_mev_per_atom": 0, "rho_kg_m3": 5012, "energy_ev_per_atom": -3.39, "spacegroup": "P4/mmm", "vol_a3_per_atom": 25.30, "e_form_raw_mev_per_atom": -244, "lattice": [[4.8405, 0.0000, 0.0000], [0.0000, 4.8405, 0.0000], [0.0000, 0.0000, 5.3995]], "species": ["As", "Se", "Sr", "As", "Zn"], "frac_coords": [[0.0000, 0.5000, 0.0000], [0.0000, 0.0000, 0.5000], [0.5000, 0.5000, 0.5000], [0.5000, 0.0000, 0.0000], [0.0000, 0.0000, 0.0000]]}

=====

{"formula": "SrZnAs2Se", "functional": "PBE", "state": "relaxed", "e_above_lowest_polymorph_mev_per_atom": 1032, "rho_kg_m3": 3320, "energy_ev_per_atom": -2.36, "spacegroup": "P4/mmm", "vol_a3_per_atom": 38.19, "e_form_raw_mev_per_atom": 788, "lattice": [[-3.7648, 3.6155, 2.5320], [-2.1655, -4.4127, 3.0813], [3.7615, 1.0313, 4.1203]], "species": ["Sr", "As", "Zn", "As", "Se"], "frac_coords": [[0.0000, 0.0000, 0.0000], [0.5000, 0.0000, 0.0000], [0.5000, 0.5000, 0.5000], [0.0000, 0.5000, 0.0000], [0.0000, 0.0000, 0.5000]]}

=====

{"formula": "SrZnAsSe2", "functional": "PBE", "state": "relaxed", "e_above_lowest_polymorph_mev_per_atom": 971, "rho_kg_m3": 3118, "energy_ev_per_atom": -2.40, "spacegroup": "P4/mmm", "vol_a3_per_atom": 41.11, "e_form_raw_mev_per_atom": 517, "lattice": [[-0.7572, -5.7532, 0.5816], [2.6436, 0.1773, 5.1953], [-5.3291, 0.9722, 2.6786]], "species": ["As", "Zn", "Se", "Sr", "Se"], "frac_coords": [[0.0000, 0.0000, 0.5000], [0.5000, 0.5000, 0.5000], [0.5000, 0.0000, 0.0000], [0.0000, 0.0000, 0.0000], [0.0000, 0.5000, 0.0000]]}

=====

{"formula": "SrZnAsSe2", "functional": "PBE", "state": "relaxed", "e_above_lowest_polymorph_mev_per_atom": 0, "rho_kg_m3": 4993, "energy_ev_per_atom": -3.37, "spacegroup": "P4/mmm", "vol_a3_per_atom": 25.67, "e_form_raw_mev_per_atom": -454, "lattice": [[5.2340, 0.0000, 0.0000], [0.0000, 5.2340, 0.0000], [0.0000, 0.0000, 4.6848]], "species": ["Se", "Sr", "As", "Se", "Zn"], "frac_coords": [[0.0000, 0.5000, 0.0000], [0.5000, 0.5000, 0.5000], [0.0000, 0.0000, 0.5000], [0.5000, 0.0000, 0.0000], [0.0000, 0.0000, 0.0000]]}

=====

{"formula": "SrZrAsSe2", "functional": "PBE", "state": "relaxed", "e_above_lowest_polymorph_mev_per_atom": 1624, "rho_kg_m3": 4257, "energy_ev_per_atom": -3.82, "spacegroup": "P4/mmm", "vol_a3_per_atom": 32.12, "e_form_raw_mev_per_atom": 550, "lattice": [[5.4605, 0.0000, 0.0000], [0.0000, 5.4605, 0.0000], [0.0000, 0.0000, 5.3857]], "species": ["Zr", "As", "Sr", "Se", "Se"], "frac_coords": [[0.5000, 0.5000, 0.5000], [0.0000, 0.0000, 0.5000], [0.0000, 0.0000, 0.0000], [0.5000, 0.0000, 0.0000], [0.0000, 0.5000, 0.0000]]}

=====

{"formula": "SrZrAsSe2", "functional": "PBE", "state": "relaxed", "e_above_lowest_polymorph_mev_per_atom": 0, "rho_kg_m3": 4729, "energy_ev_per_atom": -5.44, "spacegroup": "P4/mmm", "vol_a3_per_atom": 28.91, "e_form_raw_mev_per_atom": -1074, "lattice": [[5.2535, 0.0000, 0.0000], [0.0000, 5.2535, 0.0000], [0.0000, 0.0000, 5.2377]], "species": ["As", "Zr", "Sr", "Se", "Se"], "frac_coords": [[0.0000, 0.0000, 0.5000], [0.0000, 0.0000, 0.0000], [0.5000, 0.5000, 0.5000], [0.0000, 0.5000, 0.0000], [0.5000, 0.0000, 0.0000]]}

=====

{"formula": "SrZrAs2Se", "functional": "PBE", "state": "relaxed", "e_above_lowest_polymorph_mev_per_atom": 0, "rho_kg_m3": 4712, "energy_ev_per_atom": -5.38, "spacegroup": "P4/mmm", "vol_a3_per_atom": 28.73, "e_form_raw_mev_per_atom": -780, "lattice": [[5.2232, 0.0000, 0.0000], [0.0000, 5.2232, 0.0000], [0.0000, 0.0000, 5.2655]], "species": ["As", "As", "Sr", "Se", "Zr"], "frac_coords": [[0.5000, 0.0000, 0.0000], [0.0000, 0.5000, 0.0000], [0.5000, 0.5000, 0.5000], [0.0000, 0.0000, 0.5000], [0.0000, 0.0000, 0.0000]]}

=====

{"formula": "SrZrAs2Se", "functional": "PBE", "state": "relaxed", "e_above_lowest_polymorph_mev_per_atom": 1576, "rho_kg_m3": 4329, "energy_ev_per_atom": -3.81, "spacegroup": "P4/mmm", "vol_a3_per_atom": 31.28, "e_form_raw_mev_per_atom": 796, "lattice": [[-4.6666, 2.2820, 1.2924], [-1.7888, -0.8404, -4.9748], [-1.9553, -4.8618, 1.5244]], "species": ["Zr", "As", "As", "Sr", "Se"], "frac_coords": [[0.5000, 0.5000, 0.5000], [0.5000, 0.0000, 0.0000], [0.0000, 0.5000, 0.0000], [0.0000, 0.0000, 0.0000], [0.0000, 0.0000, 0.5000]]}

=====

{"formula": "TaAs2Se", "functional": "PBE", "state": "relaxed", "rho_kg_m3": 8562, "energy_ev_per_atom": -6.02, "spacegroup": "Immm", "vol_a3_per_atom": 19.87, "e_form_raw_mev_per_atom": 138, "lattice": [[-0.2525, 3.9317, 4.8265], [-5.0471, 2.4942, 2.6688], [3.2303, -5.0178, -1.7898]], "species": ["As", "Se", "Ta", "As"], "frac_coords": [[0.9478, 0.9478, 0.0000], [0.2500, 0.7500, 0.5000], [0.7500, 0.2500, 0.5000], [0.5522, 0.5522, 0.0000]]}

=====

{"formula": "TaAs2Se", "functional": "PBE", "state": "relaxed", "rho_kg_m3": 9341, "energy_ev_per_atom": -5.80, "spacegroup": "I-4m2", "vol_a3_per_atom": 18.21, "e_form_raw_mev_per_atom": 364, "lattice": [[5.2186, 0.0138, 0.0000], [1.9907, 4.8241, 0.0000], [-3.6047, -2.4189, 2.8965]], "species": ["As", "Se", "Ta", "As"], "frac_coords": [[0.0000, 0.0000, 0.0000], [0.5000, 0.5000, 0.0000], [0.7500, 0.2500, 0.5000], [0.2500, 0.7500, 0.5000]]}

=====

{"formula": "TaAs2Se", "functional": "PBE", "state": "relaxed", "rho_kg_m3": 6300, "energy_ev_per_atom": -5.73, "spacegroup": "I-42d", "vol_a3_per_atom": 27.00, "e_form_raw_mev_per_atom": 428, "lattice": [[6.0820, 0.0000, 0.0000], [0.0000, 6.0820, 0.0000], [3.0410, 3.0410, 5.8397]], "species": ["As", "Se", "As", "As", "Ta", "As", "Ta", "Se"], "frac_coords": [[0.0927, 0.6250, 0.2500], [0.2500, 0.7500, 0.5000], [0.8750, 0.9073, 0.7500], [0.6573, 0.1250, 0.2500], [0.7500, 0.2500, 0.5000], [0.3750, 0.3427, 0.7500], [0.0000, 0.0000, 0.0000], [0.5000, 0.5000, 0.0000]]}

=====

{"formula": "TaAs2Se", "functional": "PBE", "state": "relaxed", "rho_kg_m3": 8369, "energy_ev_per_atom": -6.37, "spacegroup": "P4mm", "vol_a3_per_atom": 20.33, "e_form_raw_mev_per_atom": -213, "lattice": [[3.2889, 0.0000, 0.0000], [0.0000, 3.2889, 0.0000], [0.0000, 0.0000, 7.5167]], "species": ["Se", "Ta", "As", "As"], "frac_coords": [[0.0000, 0.0000, 0.5782], [0.5000, 0.5000, 0.7818], [0.0000, 0.0000, 0.9771], [0.5000, 0.5000, 0.1629]]}

=====

{"formula": "TaAsSe2", "functional": "PBE", "state": "relaxed", "rho_kg_m3": 9351, "energy_ev_per_atom": -5.53, "spacegroup": "I-4m2", "vol_a3_per_atom": 18.37, "e_form_raw_mev_per_atom": 337, "lattice": [[-4.0644, -3.0686, -0.6437], [-0.5852, -2.9718, 4.1444], [0.5806, 5.0732, -0.5244]], "species": ["Ta", "As", "Se", "Se"], "frac_coords": [[0.5000, 0.5000, 0.0000], [0.7500, 0.2500, 0.5000], [0.2500, 0.7500, 0.5000], [0.0000, 0.0000, 0.0000]]}

=====

{"formula": "TaAsSe2", "functional": "PBE", "state": "relaxed", "rho_kg_m3": 7306, "energy_ev_per_atom": -5.92, "spacegroup": "P4/mmm", "vol_a3_per_atom": 23.51, "e_form_raw_mev_per_atom": -52, "lattice": [[3.0734, 0.0011, 0.0000], [-0.0012, 3.0734, 0.0000], [0.0000, 0.0000, 9.9566]], "species": ["Se", "Ta", "As", "Se"], "frac_coords": [[0.0000, 0.0000, 0.0855], [0.5000, 0.5000, 0.2500], [0.5000, 0.5000, 0.7500], [0.0000, 0.0000, 0.4145]]}

=====

{"formula": "TaAs3Se", "functional": "PBE", "state": "relaxed", "e_above_lowest_polymorph_mev_per_atom": 0, "rho_kg_m3": 6484, "energy_ev_per_atom": -5.40, "spacegroup": "Pm-3m", "vol_a3_per_atom": 24.82, "e_form_raw_mev_per_atom": 454, "lattice": [[4.9882, 0.0000, 0.0000], [0.0000, 4.9882, 0.0000], [0.0000, 0.0000, 4.9882]], "species": ["Ta", "Se", "As", "As", "As"], "frac_coords": [[0.0000, 0.0000, 0.0000], [0.5000, 0.5000, 0.5000], [0.0000, 0.5000, 0.0000], [0.0000, 0.0000, 0.5000], [0.5000, 0.0000, 0.0000]]}

=====

{"formula": "TaAs3Se", "functional": "PBE", "state": "relaxed", "e_above_lowest_polymorph_mev_per_atom": 806, "rho_kg_m3": 7118, "energy_ev_per_atom": -4.60, "spacegroup": "Pm-3m", "vol_a3_per_atom": 22.61, "e_form_raw_mev_per_atom": 1260, "lattice": [[4.8356, 0.0000, 0.0000], [0.0000, 4.8356, 0.0000], [0.0000, 0.0000, 4.8356]], "species": ["As", "As", "Se", "As", "Ta"], "frac_coords": [[0.0000, 0.0000, 0.5000], [0.0000, 0.5000, 0.0000], [0.0000, 0.0000, 0.0000], [0.5000, 0.0000, 0.0000], [0.5000, 0.5000, 0.5000]]}

=====

{"formula": "TaAsSe2", "functional": "PBE", "state": "relaxed", "rho_kg_m3": 7786, "energy_ev_per_atom": -5.41, "spacegroup": "R-3m", "vol_a3_per_atom": 22.06, "e_form_raw_mev_per_atom": 455, "lattice": [[3.8444, -7.4359, 2.4885], [6.5825, -5.3660, 2.0351], [4.8214, -5.2793, 5.0148]], "species": ["Se", "As", "Se", "Ta"], "frac_coords": [[0.0975, 0.0975, 0.0975], [0.5000, 0.5000, 0.5000], [0.9025, 0.9025, 0.9025], [0.0000, 0.0000, 0.0000]]}

=====

{"formula": "TaAs2Se", "functional": "PBE", "state": "relaxed", "rho_kg_m3": 9404, "energy_ev_per_atom": -5.76, "spacegroup": "P4/mmm", "vol_a3_per_atom": 18.09, "e_form_raw_mev_per_atom": 396, "lattice": [[-2.3388, 1.7675, -3.6724], [1.2506, -3.7186, -2.5861], [-2.7049, -1.5791, 0.9626]], "species": ["Se", "As", "Ta", "As"], "frac_coords": [[0.5000, 0.0000, 0.5000], [0.5000, 0.5000, 0.0000], [0.0000, 0.5000, 0.5000], [0.0000, 0.0000, 0.0000]]}

=====

{"formula": "TaAsSe2", "functional": "PBE", "state": "relaxed", "rho_kg_m3": 8661, "energy_ev_per_atom": -5.89, "spacegroup": "Pm", "vol_a3_per_atom": 19.83, "e_form_raw_mev_per_atom": -23, "lattice": [[-4.2718, -1.7145, -1.7752], [-1.1707, -0.3470, 3.1524], [-2.3056, 4.2591, 1.4348]], "species": ["As", "Ta", "Se", "Se"], "frac_coords": [[0.5000, 0.7229, 0.6806], [0.0000, 0.3158, 0.4888], [0.5000, 0.4350, 0.2597], [0.0000, 0.0263, 0.0710]]}

=====

{"formula": "TaAs2Se", "functional": "PBE", "state": "relaxed", "rho_kg_m3": 9019, "energy_ev_per_atom": -6.12, "spacegroup": "Pm", "vol_a3_per_atom": 18.86, "e_form_raw_mev_per_atom": 41, "lattice": [[4.4863, 0.0000, 0.0000], [0.0000, 3.4956, -0.0276], [0.0000, 1.6797, 4.7974]], "species": ["As", "Ta", "Se", "As"], "frac_coords": [[0.5000, 0.2680, 0.3258], [0.5000, 0.5597, 0.7666], [0.0000, 0.6859, 0.4700], [0.0000, 0.9864, 0.9376]]}

=====

{"formula": "TaAsSe2", "functional": "PBE", "state": "relaxed", "rho_kg_m3": 8851, "energy_ev_per_atom": -5.61, "spacegroup": "C2/m", "vol_a3_per_atom": 19.41, "e_form_raw_mev_per_atom": 253, "lattice": [[-2.9212, -2.4903, -3.0099], [4.1616, 1.7521, -2.2292], [2.1345, -3.1081, -0.8869]], "species": ["Se", "As", "Se", "Ta"], "frac_coords": [[0.5000, 0.0000, 0.5000], [0.5000, 0.5000, 0.0000], [0.0000, 0.0000, 0.0000], [0.0000, 0.5000, 0.5000]]}

=====

{"formula": "TaAs2Se", "functional": "PBE", "state": "relaxed", "rho_kg_m3": 8269, "energy_ev_per_atom": -6.29, "spacegroup": "R3m", "vol_a3_per_atom": 20.57, "e_form_raw_mev_per_atom": -130, "lattice": [[-8.6456, 1.4893, -2.4272], [-7.3126, 0.8859, -5.3476], [-8.2728, -1.5913, -3.4473]], "species": ["Ta", "As", "As", "Se"], "frac_coords": [[0.7476, 0.7476, 0.7476], [0.0056, 0.0056, 0.0056], [0.2669, 0.2669, 0.2669], [0.4799, 0.4799, 0.4799]]}

=====

{"formula": "TaAsSe2", "functional": "PBE", "state": "relaxed", "rho_kg_m3": 7419, "energy_ev_per_atom": -6.07, "spacegroup": "P2/m", "vol_a3_per_atom": 23.15, "e_form_raw_mev_per_atom": -203, "lattice": [[3.5374, 0.0000, 0.0000], [0.0000, 6.1233, 0.0478], [0.0000, 3.3417, 4.3020]], "species": ["Se", "As", "Se", "Ta"], "frac_coords": [[0.0000, 0.4214, 0.4506], [0.5000, 0.7500, 0.7500], [0.0000, 0.0786, 0.0494], [0.5000, 0.2500, 0.2500]]}

=====

{"formula": "TaAsSe2", "functional": "PBE", "state": "relaxed", "rho_kg_m3": 7500, "energy_ev_per_atom": -5.90, "spacegroup": "P4mm", "vol_a3_per_atom": 22.90, "e_form_raw_mev_per_atom": -36, "lattice": [[3.0170, 0.0000, 0.0000], [0.0000, 3.0170, 0.0000], [0.0000, 0.0000, 10.0643]], "species": ["As", "Ta", "Se", "Se"], "frac_coords": [[0.5000, 0.5000, 0.6764], [0.0000, 0.0000, 0.4819], [0.5000, 0.5000, 0.3270], [0.0000, 0.0000, 0.0148]]}

=====

{"formula": "TaAsSe2", "functional": "PBE", "state": "relaxed", "rho_kg_m3": 6396, "energy_ev_per_atom": -5.52, "spacegroup": "I-42d", "vol_a3_per_atom": 26.86, "e_form_raw_mev_per_atom": 350, "lattice": [[6.4475, 0.0000, 0.0000], [0.0000, 6.4475, 0.0000], [3.2238, 3.2238, 5.1681]], "species": ["Se", "Se", "Se", "Se", "As", "Ta", "As", "Ta"], "frac_coords": [[0.3750, 0.3378, 0.7500], [0.6622, 0.1250, 0.2500], [0.8750, 0.9122, 0.7500], [0.0878, 0.6250, 0.2500], [0.2500, 0.7500, 0.5000], [0.0000, 0.0000, 0.0000], [0.5000, 0.5000, 0.0000], [0.7500, 0.2500, 0.5000]]}